*w*
This record from the Open Quantum Materials Database describes a relaxed TbTlFeS3 crystal. The functional is GGA-PBE.

Cell and atoms, written as extended XYZ:
```
12
Lattice="1.985 -7.170 0.000 1.985 7.170 0.000 0.000 0.000 10.487" Properties=species:S:1:pos:R:3 pbc="T T T"
Tb 0.000 0.000 0.000
Tb 0.000 0.000 5.244
Tl 1.985 3.611 7.865
Tl 1.985 -3.611 2.622
Fe 1.985 0.408 2.622
Fe 1.985 -0.408 7.865
S 1.985 6.280 2.622
S 1.985 1.743 0.763
S 1.985 1.743 4.480
S 1.985 -1.743 6.007
S 1.985 -1.743 9.724
S 1.985 -6.280 7.865
```

*x*
This record from the Open Quantum Materials Database describes a relaxed TbTlFeS3 crystal. The functional is GGA-PBE.

Cell and atoms, written as extended XYZ:
```
12
Lattice="8.879 0.000 0.000 0.000 3.959 0.000 -2.731 0.000 8.801" Properties=species:S:1:pos:R:3 pbc="T T T"
Tb 1.066 0.990 1.322
Tb 5.081 2.969 7.479
Tl 0.489 2.969 6.835
Tl 5.659 0.990 1.966
Fe 2.649 2.969 3.589
Fe 3.499 0.990 5.212
S -1.912 0.990 7.409
S 1.431 0.990 4.122
S 3.002 2.969 1.325
S 3.146 0.990 7.476
S 4.716 2.969 4.679
S 8.059 2.969 1.392
```

Energetically preferred structure: *x* | next structure: +1.5 kJ/mol of atoms